1.
Here is crystalline CoP at its relaxed geometry from Alexandria via LeMat-Bulk. Energies are from PBE.

a b c (Å): 3.336 3.336 2.495
angles (deg): 90.00 90.00 120.00
Positions (direct):
Co: 0.667 0.333 0.000
P: 0.333 0.667 0.500

## Properties
**Formation energy**: -0.3383 eV per atom
**D(E_F)**: 1.6 states/eV per cell
**M_tot**: 0.00 μB per formula unit
**VASP energy**: -6.60 eV per atom
**ρ**: 6.2 g/cm3

***

2.
Here is crystalline Co4P at its relaxed geometry from Alexandria via LeMat-Bulk. Energies are from PBE.

a b c (Å): 4.083 4.083 4.083
angles (deg): 90.00 90.00 90.00
Positions (direct):
P: 0.500 0.500 0.500
Co: 0.500 0.000 0.500
Co: 0.500 0.500 0.000
Co: 0.000 0.500 0.500
Co: 0.000 0.000 0.000

## Properties
**Formation energy**: 0.4857 eV per atom
**D(E_F)**: 10.0 states/eV per cell
**M_tot**: 5.51 μB per formula unit
**VASP energy**: -6.28 eV per atom
**ρ**: 6.5 g/cm3
**Relative energy among the computed polymorphs**: 0.600 eV/atom

***

3.
Here is crystalline CoP3 at its relaxed geometry from Alexandria via LeMat-Bulk. Energies are from PBE.

a b c (Å): 7.415 7.415 3.358
angles (deg): 90.00 90.00 140.74
Positions (direct):
P: 0.421 0.028 0.250
P: 0.028 0.421 0.750
P: 0.579 0.972 0.750
P: 0.972 0.579 0.250
P: 0.051 0.949 0.750
P: 0.949 0.051 0.250
Co: 0.426 0.574 0.750
Co: 0.574 0.426 0.250

## Properties
**Formation energy**: 0.2644 eV per atom
**D(E_F)**: 4.8 states/eV per cell
**M_tot**: 1.28 μB per formula unit
**VASP energy**: -5.57 eV per atom
**ρ**: 4.3 g/cm3
**Relative energy among the computed polymorphs**: 0.759 eV/atom

***

4.
Here is crystalline Co4P at its relaxed geometry from Alexandria via LeMat-Bulk. Energies are from PBE.

a b c (Å): 4.236 4.236 4.236
angles (deg): 100.39 100.39 129.75
Positions (direct):
Co: 0.806 0.390 0.196
Co: 0.194 0.610 0.804
Co: 0.390 0.194 0.583
Co: 0.610 0.806 0.417
P: 0.000 0.000 0.000

## Properties
**Formation energy**: -0.1145 eV per atom
**D(E_F)**: 6.6 states/eV per cell
**M_tot**: 4.59 μB per formula unit
**VASP energy**: -6.88 eV per atom
**ρ**: 8.4 g/cm3
**Relative energy among the computed polymorphs**: 0.000 eV/atom

***

5.
Here is crystalline CoP at its relaxed geometry from Alexandria via LeMat-Bulk. Energies are from PBE.

a b c (Å): 2.671 4.080 4.079
angles (deg): 90.00 90.00 90.00
Positions (direct):
Co: 0.000 0.000 0.951
Co: 0.000 0.500 0.382
P: 0.500 0.000 0.426
P: 0.500 0.500 0.907

## Properties
**Formation energy**: -0.0755 eV per atom
**D(E_F)**: 3.5 states/eV per cell
**M_tot**: 0.27 μB per formula unit
**VASP energy**: -6.33 eV per atom
**ρ**: 6.7 g/cm3

***

6.
Here is crystalline CoP at its relaxed geometry from Alexandria via LeMat-Bulk. Energies are from PBE.

a b c (Å): 2.715 2.715 7.141
angles (deg): 90.00 90.00 90.00
Positions (direct):
P: 0.250 0.250 0.705
P: 0.750 0.750 0.295
Co: 0.750 0.750 0.875
Co: 0.250 0.250 0.125

## Properties
**Formation energy**: -0.0920 eV per atom
**D(E_F)**: 3.0 states/eV per cell
**M_tot**: 0.35 μB per formula unit
**VASP energy**: -6.35 eV per atom
**ρ**: 5.7 g/cm3

***

7.
Here is crystalline CoP7 at its relaxed geometry from Alexandria via LeMat-Bulk. Energies are from PBE.

a b c (Å): 5.387 5.387 5.387
angles (deg): 60.00 60.00 60.00
Positions (direct):
P: 0.500 0.000 0.000
P: 0.000 0.500 0.500
P: 0.000 0.000 0.500
P: 0.000 0.500 0.000
P: 0.500 0.000 0.500
P: 0.500 0.500 0.000
P: 0.500 0.500 0.500
Co: 0.000 0.000 0.000

## Properties
**Formation energy**: 0.7646 eV per atom
**D(E_F)**: 6.2 states/eV per cell
**M_tot**: 0.00 μB per formula unit
**VASP energy**: -4.86 eV per atom
**ρ**: 4.1 g/cm3

***

8.
Here is crystalline CoP at its relaxed geometry from Alexandria via LeMat-Bulk. Energies are from PBE.

a b c (Å): 2.708 2.708 8.902
angles (deg): 90.00 90.00 120.00
Positions (direct):
Co: 0.000 0.000 0.012
Co: 0.667 0.333 0.238
P: 0.000 0.000 0.419
P: 0.667 0.333 0.831

## Properties
**Formation energy**: 0.0400 eV per atom
**D(E_F)**: 2.4 states/eV per cell
**M_tot**: 0.86 μB per formula unit
**VASP energy**: -6.22 eV per atom
**ρ**: 5.3 g/cm3

***

9.
Here is crystalline Co3P5 at its relaxed geometry from Alexandria via LeMat-Bulk. Energies are from PBE.

a b c (Å): 7.182 7.182 4.535
angles (deg): 90.00 90.00 120.00
Positions (direct):
Co: 0.389 0.389 0.250
Co: 0.611 0.000 0.250
Co: 0.000 0.611 0.250
Co: 0.000 0.389 0.750
Co: 0.389 0.000 0.750
Co: 0.611 0.611 0.750
P: 0.723 0.723 0.250
P: 0.333 0.667 0.000
P: 0.277 0.000 0.250
P: 0.277 0.277 0.750
P: 0.333 0.667 0.500
P: 0.000 0.277 0.250
P: 0.723 0.000 0.750
P: 0.667 0.333 0.000
P: 0.667 0.333 0.500
P: 0.000 0.723 0.750

## Properties
**Formation energy**: 0.0934 eV per atom
**D(E_F)**: 6.4 states/eV per cell
**M_tot**: 0.00 μB per formula unit
**VASP energy**: -5.95 eV per atom
**ρ**: 5.4 g/cm3
**Relative energy among the computed polymorphs**: 0.120 eV/atom

***

10.
Here is crystalline CoP8 at its relaxed geometry from Alexandria via LeMat-Bulk. Energies are from PBE.

a b c (Å): 5.675 5.675 5.675
angles (deg): 102.85 102.85 123.72
Positions (direct):
P: 0.661 0.661 0.321
P: 0.339 0.339 0.679
P: 0.661 0.339 0.000
P: 0.311 0.000 0.311
P: 0.689 0.000 0.689
P: 0.000 0.311 0.311
P: 0.000 0.689 0.689
P: 0.339 0.661 0.000
Co: 0.000 0.000 0.000

## Properties
**Formation energy**: 0.5329 eV per atom
**D(E_F)**: 3.6 states/eV per cell
**M_tot**: 0.00 μB per formula unit
**VASP energy**: -5.07 eV per atom
**ρ**: 3.8 g/cm3

***

11.
Here is crystalline CoP at its relaxed geometry from Alexandria via LeMat-Bulk. Energies are from PBE.

a b c (Å): 2.815 5.610 5.866
angles (deg): 90.00 90.00 90.00
Positions (direct):
P: 0.250 0.520 0.300
P: 0.750 0.980 0.800
P: 0.250 0.020 0.200
P: 0.750 0.480 0.700
Co: 0.250 0.696 0.949
Co: 0.750 0.304 0.051
Co: 0.750 0.804 0.449
Co: 0.250 0.196 0.551

## Properties
**Formation energy**: -0.1596 eV per atom
**D(E_F)**: 4.8 states/eV per cell
**M_tot**: 0.00 μB per formula unit
**VASP energy**: -6.42 eV per atom
**ρ**: 6.4 g/cm3

***

12.
Here is crystalline CoP at its relaxed geometry from Alexandria via LeMat-Bulk. Energies are from PBE.

a b c (Å): 5.957 5.957 5.654
angles (deg): 61.66 61.66 24.73
Positions (direct):
P: 0.767 0.767 0.862
P: 0.122 0.122 0.506
P: 0.944 0.944 0.229
Co: 0.444 0.444 0.567
Co: 0.578 0.578 0.868
Co: 0.311 0.311 0.134

## Properties
**Formation energy**: -0.4220 eV per atom
**D(E_F)**: 4.1 states/eV per cell
**M_tot**: 0.00 μB per formula unit
**VASP energy**: -6.68 eV per atom
**ρ**: 6.1 g/cm3

***

13.
Here is crystalline Co5P4 at its relaxed geometry from Alexandria via LeMat-Bulk. Energies are from PBE.

a b c (Å): 6.179 6.179 6.532
angles (deg): 90.00 90.00 120.00
Positions (direct):
Co: 0.000 0.753 0.250
Co: 0.667 0.333 0.500
Co: 0.753 0.000 0.250
Co: 0.333 0.667 0.000
Co: 0.247 0.000 0.750
Co: 0.333 0.667 0.500
Co: 0.667 0.333 0.000
Co: 0.753 0.753 0.750
Co: 0.247 0.247 0.250
Co: 0.000 0.247 0.750
P: 0.587 0.587 0.250
P: 0.587 0.000 0.750
P: 0.413 0.000 0.250
P: 0.413 0.413 0.750
P: 0.000 0.413 0.250
P: 0.000 0.000 0.000
P: 0.000 0.587 0.750
P: 0.000 0.000 0.500

## Properties
**Formation energy**: -0.2036 eV per atom
**D(E_F)**: 11.3 states/eV per cell
**M_tot**: 2.55 μB per formula unit
**VASP energy**: -6.56 eV per atom
**ρ**: 6.4 g/cm3

***

14.
Here is crystalline CoP at its relaxed geometry from Alexandria via LeMat-Bulk. Energies are from PBE.

a b c (Å): 2.665 2.665 6.976
angles (deg): 90.00 90.00 90.00
Positions (direct):
P: 0.500 0.500 0.000
P: 0.000 0.000 0.500
Co: 0.000 0.500 0.750
Co: 0.500 0.000 0.250

## Properties
**Formation energy**: -0.2704 eV per atom
**D(E_F)**: 1.4 states/eV per cell
**M_tot**: 0.00 μB per formula unit
**VASP energy**: -6.53 eV per atom
**ρ**: 6.0 g/cm3

***

15.
Here is crystalline CoP5 at its relaxed geometry from Alexandria via LeMat-Bulk. Energies are from PBE.

a b c (Å): 6.540 6.540 6.612
angles (deg): 70.73 70.73 28.63
Positions (direct):
P: 0.633 0.633 0.725
P: 0.986 0.986 0.343
P: 0.666 0.666 0.021
P: 0.398 0.398 0.228
P: 0.442 0.442 0.864
Co: 0.041 0.041 0.986

## Properties
**Formation energy**: 0.1008 eV per atom
**D(E_F)**: 3.6 states/eV per cell
**M_tot**: 0.00 μB per formula unit
**VASP energy**: -5.59 eV per atom
**ρ**: 2.8 g/cm3
**Relative energy among the computed polymorphs**: 0.114 eV/atom

***

16.
Here is crystalline Co3P4 at its relaxed geometry from Alexandria via LeMat-Bulk. Energies are from PBE.

a b c (Å): 4.951 4.951 4.092
angles (deg): 90.00 90.00 120.00
Positions (direct):
P: 0.333 0.667 0.500
P: 0.667 0.333 0.500
P: 0.000 0.000 0.751
P: 0.000 0.000 0.249
Co: 0.500 0.500 0.000
Co: 0.500 0.000 0.000
Co: 0.000 0.500 0.000

## Properties
**Formation energy**: 0.3899 eV per atom
**D(E_F)**: 5.9 states/eV per cell
**M_tot**: 1.31 μB per formula unit
**VASP energy**: -5.75 eV per atom
**ρ**: 5.7 g/cm3
**Relative energy among the computed polymorphs**: 0.472 eV/atom

***

17.
Here is crystalline CoP at its relaxed geometry from Alexandria via LeMat-Bulk. Energies are from PBE.

a b c (Å): 7.020 4.604 6.469
angles (deg): 90.00 90.00 90.00
Positions (direct):
Co: 0.402 0.942 0.325
Co: 0.388 0.780 0.946
Co: 0.098 0.058 0.825
Co: 0.598 0.442 0.175
Co: 0.112 0.220 0.446
Co: 0.612 0.280 0.554
Co: 0.902 0.558 0.675
Co: 0.888 0.720 0.054
P: 0.864 0.014 0.605
P: 0.624 0.525 0.838
P: 0.364 0.486 0.395
P: 0.124 0.975 0.162
P: 0.136 0.514 0.895
P: 0.876 0.475 0.338
P: 0.376 0.025 0.662
P: 0.636 0.986 0.105

## Properties
**Formation energy**: -0.4241 eV per atom
**D(E_F)**: 10.2 states/eV per cell
**M_tot**: 0.00 μB per formula unit
**VASP energy**: -6.68 eV per atom
**ρ**: 5.7 g/cm3

***

18.
Here is crystalline Pa3Co7P4 at its relaxed geometry from Alexandria via LeMat-Bulk. Energies are from PBE.

a b c (Å): 3.780 7.557 7.569
angles (deg): 71.79 75.54 75.52
Positions (direct):
P: 0.111 0.113 0.665
P: 0.342 0.544 0.772
P: 0.658 0.456 0.228
P: 0.889 0.887 0.335
Pa: 0.000 0.500 0.500
Pa: 0.675 0.820 0.830
Pa: 0.325 0.180 0.170
Co: 0.493 0.227 0.787
Co: 0.304 0.853 0.538
Co: 0.507 0.773 0.213
Co: 0.696 0.147 0.462
Co: 0.831 0.409 0.929
Co: 0.169 0.591 0.071
Co: 0.000 0.000 0.000

## Properties
**Formation energy**: -0.8249 eV per atom
**D(E_F)**: 13.7 states/eV per cell
**M_tot**: 0.05 μB per formula unit
**VASP energy**: -7.96 eV per atom
**ρ**: 10.4 g/cm3

***

19.
Here is crystalline PaCo3P2 at its relaxed geometry from Alexandria via LeMat-Bulk. Energies are from PBE.

a b c (Å): 3.713 7.408 6.694
angles (deg): 114.09 90.00 104.52
Positions (direct):
Co: 0.317 0.635 0.561
Co: 0.957 0.915 0.634
Co: 0.399 0.797 0.301
Co: 0.601 0.203 0.699
Co: 0.043 0.085 0.366
Co: 0.683 0.365 0.439
P: 0.811 0.622 0.330
P: 0.479 0.957 0.815
P: 0.521 0.043 0.185
P: 0.189 0.378 0.670
Pa: 0.153 0.306 0.065
Pa: 0.847 0.694 0.935

## Properties
**Formation energy**: -0.8077 eV per atom
**D(E_F)**: 9.9 states/eV per cell
**M_tot**: 0.63 μB per formula unit
**VASP energy**: -7.75 eV per atom
**ρ**: 9.7 g/cm3
**Relative energy among the computed polymorphs**: 0.086 eV/atom

***

20.
Here is crystalline PaCo2P2 at its relaxed geometry from Alexandria via LeMat-Bulk. Energies are from PBE.

a b c (Å): 3.983 3.983 8.873
angles (deg): 90.00 90.00 90.00
Positions (direct):
P: 0.000 0.000 0.500
P: 0.500 0.500 0.500
P: 0.500 0.000 0.866
P: 0.000 0.500 0.134
Co: 0.000 0.000 0.000
Co: 0.000 0.500 0.388
Co: 0.500 0.000 0.612
Co: 0.500 0.500 0.000
Pa: 0.500 0.000 0.250
Pa: 0.000 0.500 0.750

## Properties
**Formation energy**: -1.0117 eV per atom
**D(E_F)**: 5.5 states/eV per cell
**M_tot**: 0.78 μB per formula unit
**VASP energy**: -7.92 eV per atom
**ρ**: 9.7 g/cm3